Record 1
The following is a PBE calculation of a geometry-optimized PSeS structure, from Alexandria via LeMat-Bulk.

Values from the calculation:
space-group type	C2/m (12)
offset from the most stable computed form	57.3	meV per atom
uncorrected formation energy	0.045	eV per atom

a = 6.651 Å, b = 3.335 Å, c = 14.329 Å
α = 90.00°, β = 92.55°, γ = 90.00°
Positions (direct):
1 P 0.141 0.000 0.394
2 P 0.859 0.000 0.606
3 P 0.141 0.500 0.894
4 P 0.859 0.500 0.106
5 Se 0.665 0.000 0.469
6 Se 0.335 0.000 0.531
7 Se 0.665 0.500 0.969
8 Se 0.335 0.500 0.031
9 S 0.260 0.000 0.814
10 S 0.740 0.000 0.186
11 S 0.260 0.500 0.314
12 S 0.740 0.500 0.686

---

Record 2
The following is a PBE calculation of a geometry-optimized PSeS structure, from Alexandria via LeMat-Bulk.

Values from the calculation:
space-group type	P3m1 (156)
offset from the most stable computed form	53.2	meV per atom
uncorrected formation energy	0.041	eV per atom

a = 3.388 Å, b = 3.388 Å, c = 6.712 Å
α = 90.00°, β = 90.00°, γ = 120.00°
Positions (direct):
1 P 0.667 0.333 0.341
2 S 0.333 0.667 0.543
3 Se 0.000 0.000 0.116

---

Record 3
The following is a PBE calculation of a geometry-optimized P2SeS2 structure, from Alexandria via LeMat-Bulk.

Values from the calculation:
space-group type	P4/mmm (123)
offset from the most stable computed form	1330.0	meV per atom
uncorrected formation energy	1.331	eV per atom

a = 4.866 Å, b = 4.866 Å, c = 4.618 Å
α = 90.00°, β = 90.00°, γ = 90.00°
Positions (direct):
1 P 0.000 0.500 0.000
2 P 0.500 0.000 0.000
3 S 0.500 0.500 0.500
4 S 0.000 0.000 0.500
5 Se 0.000 0.000 0.000

---

Record 4
The following is a PBE calculation of a geometry-optimized PSe2S8 structure, from Alexandria via LeMat-Bulk.

Values from the calculation:
space-group type	P-1 (2)
uncorrected formation energy	0.172	eV per atom

a = 5.518 Å, b = 5.553 Å, c = 13.687 Å
α = 132.93°, β = 93.00°, γ = 97.81°
Positions (direct):
1 P 0.500 0.000 0.000
2 Se 0.338 0.604 0.341
3 Se 0.662 0.396 0.659
4 S 0.557 0.758 0.081
5 S 0.349 0.528 0.781
6 S 0.303 0.076 0.421
7 S 0.904 0.130 0.990
8 S 0.697 0.924 0.579
9 S 0.651 0.472 0.219
10 S 0.443 0.242 0.919
11 S 0.096 0.870 0.010

---

Record 5
The following is a PBE calculation of a geometry-optimized PSeS structure, from Alexandria via LeMat-Bulk.

Values from the calculation:
space-group type	P-1 (2)
offset from the most stable computed form	38.2	meV per atom
uncorrected formation energy	0.026	eV per atom

a = 3.541 Å, b = 6.775 Å, c = 7.094 Å
α = 99.15°, β = 92.40°, γ = 103.53°
Positions (direct):
1 P 0.861 0.114 0.107
2 P 0.139 0.886 0.893
3 Se 0.084 0.650 0.113
4 Se 0.916 0.350 0.887
5 S 0.314 0.210 0.308
6 S 0.686 0.790 0.692

---

Record 6
The following is a PBE calculation of a geometry-optimized P2SeS2 structure, from Alexandria via LeMat-Bulk.

Values from the calculation:
space-group type	P4/mmm (123)
offset from the most stable computed form	1003.7	meV per atom
uncorrected formation energy	1.005	eV per atom

a = 4.642 Å, b = 4.642 Å, c = 4.405 Å
α = 90.00°, β = 90.00°, γ = 90.00°
Positions (direct):
1 P 0.000 0.500 0.000
2 P 0.500 0.000 0.000
3 S 0.000 0.000 0.000
4 S 0.000 0.000 0.500
5 Se 0.500 0.500 0.500

---

Record 7
The following is a PBE calculation of a geometry-optimized PSeS structure, from Alexandria via LeMat-Bulk.

Values from the calculation:
space-group type	P1 (1)
offset from the most stable computed form	52.0	meV per atom
uncorrected formation energy	0.040	eV per atom

a = 3.387 Å, b = 3.388 Å, c = 6.863 Å
α = 103.90°, β = 90.15°, γ = 119.98°
Positions (direct):
1 P 0.198 0.053 0.550
2 Se 0.940 0.536 0.779
3 S 0.463 0.586 0.344

---

Record 8
The following is a PBE calculation of a geometry-optimized PSeS3 structure, from Alexandria via LeMat-Bulk.

Values from the calculation:
space-group type	Pm-3m (221)
offset from the most stable computed form	581.9	meV per atom
uncorrected formation energy	0.716	eV per atom

a = 4.514 Å, b = 4.514 Å, c = 4.514 Å
α = 90.00°, β = 90.00°, γ = 90.00°
Positions (direct):
1 P 0.000 0.000 0.000
2 S 0.000 0.500 0.000
3 S 0.000 0.000 0.500
4 S 0.500 0.000 0.000
5 Se 0.500 0.500 0.500

---

Record 9
The following is a PBE calculation of a geometry-optimized PSeS structure, from Alexandria via LeMat-Bulk.

Values from the calculation:
space-group type	P1 (1)
offset from the most stable computed form	41.3	meV per atom
uncorrected formation energy	0.029	eV per atom

a = 5.223 Å, b = 5.232 Å, c = 7.079 Å
α = 99.23°, β = 96.61°, γ = 102.66°
Positions (direct):
1 P 0.973 0.560 0.072
2 P 0.963 0.985 0.058
3 Se 0.952 0.133 0.378
4 Se 0.322 0.514 0.906
5 S 0.090 0.588 0.371
6 S 0.583 0.907 0.884

---

Record 10
The following is a PBE calculation of a geometry-optimized PSeS structure, from Alexandria via LeMat-Bulk.

Values from the calculation:
space-group type	Cm (8)
offset from the most stable computed form	43.3	meV per atom
uncorrected formation energy	0.031	eV per atom

a = 6.917 Å, b = 3.089 Å, c = 17.209 Å
α = 90.00°, β = 108.90°, γ = 90.00°
Positions (direct):
1 P 0.051 0.000 0.647
2 P 0.051 0.500 0.147
3 P 0.812 0.000 0.432
4 P 0.812 0.500 0.932
5 Se 0.767 0.000 0.106
6 Se 0.767 0.500 0.606
7 Se 0.148 0.000 0.527
8 Se 0.148 0.500 0.027
9 S 0.266 0.000 0.215
10 S 0.266 0.500 0.715
11 S 0.838 0.000 0.849
12 S 0.838 0.500 0.349

---

Record 11
The following is a PBE calculation of a geometry-optimized P2SeS2 structure, from Alexandria via LeMat-Bulk.

Values from the calculation:
space-group type	P4/mmm (123)
offset from the most stable computed form	1234.6	meV per atom
uncorrected formation energy	1.236	eV per atom

a = 4.674 Å, b = 4.674 Å, c = 4.860 Å
α = 90.00°, β = 90.00°, γ = 90.00°
Positions (direct):
1 P 0.500 0.500 0.500
2 P 0.000 0.000 0.500
3 S 0.000 0.500 0.000
4 S 0.500 0.000 0.000
5 Se 0.000 0.000 0.000

---

Record 12
The following is a PBE calculation of a geometry-optimized PSeS structure, from Alexandria via LeMat-Bulk.

Values from the calculation:
space-group type	Pm (6)
offset from the most stable computed form	55.2	meV per atom
uncorrected formation energy	0.043	eV per atom

a = 4.905 Å, b = 3.031 Å, c = 6.291 Å
α = 90.00°, β = 107.05°, γ = 90.00°
Positions (direct):
1 P 0.017 0.000 0.592
2 Se 0.629 0.000 0.735
3 S 0.929 0.500 0.345